(1)
A relaxed structure of LaSm3Os. Source: Alexandria, functional PBE.

a = 7.5280 Å, b = 7.5280 Å, c = 7.4614 Å
α = 108.13°, β = 111.94°, γ = 108.74°
Fractional coordinates of all 10 atoms:
Sm  0.1514  0.9453  0.6990
Sm  0.8486  0.0547  0.3010
La  0.2895  0.9496  0.2391
Sm  0.2462  0.4523  0.3010
Sm  0.7538  0.5477  0.6990
Os  0.6382  0.7522  0.3904
Sm  0.3012  0.5534  0.8546
La  0.7105  0.0504  0.7609
Os  0.3618  0.2478  0.6096
Sm  0.6988  0.4466  0.1454

Results
energy relative to the elements = -0.114 eV/atom
calculated density = 8.0 g/cm3
relative energy among the computed polymorphs = 0 meV/atom

(2)
A relaxed structure of LaSmOs. Source: Alexandria, functional PBE.

a = 4.9290 Å, b = 4.9290 Å, c = 4.9290 Å
α = 60.00°, β = 60.00°, γ = 60.00°
Fractional coordinates of all 3 atoms:
Os  0.2500  0.2500  0.2500
La  0.0000  0.0000  0.0000
Sm  0.5000  0.5000  0.5000

Results
energy relative to the elements = -0.110 eV/atom
calculated density = 9.4 g/cm3
relative energy among the computed polymorphs = 0 meV/atom